# Si2BiSbI (GGA-PBE, optimized geometry)
# Density of states at the Fermi level in states/eV per cell: 5.635
# Crystal system: tetragonal
# DFT total energy in eV/atom: -3.07
data_Si2BiSbI
_chemical_formula_sum 'Si2 Bi1 Sb1 I1'
_cell_length_a 5.242
_cell_length_b 5.242
_cell_length_c 6.155
_cell_angle_alpha 90.00
_cell_angle_beta 90.00
_cell_angle_gamma 90.00
_space_group_name_H-M_alt 'P 4/m m m'
_space_group_IT_number 123
_space_group_name_Hall '-P 4 2'
loop_
_atom_site_label
_atom_site_type_symbol
_atom_site_fract_x
_atom_site_fract_y
_atom_site_fract_z
Si1 Si 0.000 0.500 0.000
Bi1 Bi 0.000 0.000 0.500
Sb1 Sb 0.000 0.000 0.000
I1 I 0.500 0.500 0.500